one) Material: CePm2Sm8
Method: DFT, GGA-PBE
State: relaxed

Cell and atoms, written as CIF:
```
data_CePm2Sm8
_chemical_formula_sum 'Ce2 Pm4 Sm16'
_cell_length_a 17.746
_cell_length_b 6.811
_cell_length_c 6.444
_cell_angle_alpha 90.00
_cell_angle_beta 107.45
_cell_angle_gamma 90.00
_symmetry_space_group_name_H-M 'C 1 2/m 1'
_symmetry_Int_Tables_number 12
loop_
_symmetry_equiv_pos_as_xyz
'x,y,z'
'-x,-y,-z'
'-x,y,-z'
'x,-y,z'
'x+1/2,y+1/2,z'
'-x+1/2,-y+1/2,-z'
'-x+1/2,y+1/2,-z'
'x+1/2,-y+1/2,z'
loop_
_atom_site_label
_atom_site_fract_x
_atom_site_fract_y
_atom_site_fract_z
Ce1 0.000 0.000 0.000
Pm1 0.221 0.500 0.127
Sm1 0.058 0.500 0.238
Sm2 0.104 0.241 0.688
Sm3 0.205 0.000 0.310
```

## Properties
Fermi-level density of states   37.45 states/eV/cell
ρ   7.299 g/cm3

=====

two) Material: CePm2Sm8
Method: DFT, GGA-PBE
State: relaxed

Cell and atoms, written as CIF:
```
data_CePm2Sm8
_chemical_formula_sum 'Ce2 Pm4 Sm16'
_cell_length_a 18.489
_cell_length_b 5.123
_cell_length_c 8.110
_cell_angle_alpha 90.00
_cell_angle_beta 105.21
_cell_angle_gamma 90.00
_symmetry_space_group_name_H-M 'C 1 2/m 1'
_symmetry_Int_Tables_number 12
loop_
_symmetry_equiv_pos_as_xyz
'x,y,z'
'-x,-y,-z'
'-x,y,-z'
'x,-y,z'
'x+1/2,y+1/2,z'
'-x+1/2,-y+1/2,-z'
'-x+1/2,y+1/2,-z'
'x+1/2,-y+1/2,z'
loop_
_atom_site_label
_atom_site_fract_x
_atom_site_fract_y
_atom_site_fract_z
Ce1 0.000 0.000 0.000
Pm1 0.228 0.500 0.637
Sm1 0.045 0.500 0.731
Sm2 0.090 0.000 0.452
Sm3 0.135 0.500 0.179
Sm4 0.180 0.000 0.909
```

## Properties
Fermi-level density of states   38.95 states/eV/cell
ρ   7.317 g/cm3

=====

Of them, one) has the lowest stability.

=====

one) Material: Ce2PmSn3
Method: DFT, GGA-PBE
State: relaxed

Cell and atoms, written as CIF:
```
data_Ce2PmSn3
_chemical_formula_sum 'Ce4 Pm2 Sn6'
_cell_length_a 4.974
_cell_length_b 14.930
_cell_length_c 4.498
_cell_angle_alpha 90.00
_cell_angle_beta 90.00
_cell_angle_gamma 90.00
_symmetry_space_group_name_H-M 'C m m m'
_symmetry_Int_Tables_number 65
_symmetry_space_group_name_Hall '-C 2 2'
loop_
_atom_site_label
_atom_site_fract_x
_atom_site_fract_y
_atom_site_fract_z
Ce1 0.000 0.168 0.000
Pm1 0.000 0.500 0.000
Sn1 0.000 0.000 0.500
Sn2 0.000 0.335 0.500
```

## Properties
Fermi-level density of states   28.41 states/eV/cell
ρ   7.769 g/cm3

=====

two) Material: Ce2PmSn3
Method: DFT, GGA-PBE
State: relaxed

Cell and atoms, written as CIF:
```
data_Ce2PmSn3
_chemical_formula_sum 'Ce8 Pm4 Sn12'
_cell_length_a 7.753
_cell_length_b 13.517
_cell_length_c 7.797
_cell_angle_alpha 90.00
_cell_angle_beta 109.63
_cell_angle_gamma 90.00
_symmetry_space_group_name_H-M 'C 1 2/c 1'
_symmetry_Int_Tables_number 15
loop_
_symmetry_equiv_pos_as_xyz
'x,y,z'
'-x,-y,-z'
'-x,y,-z+1/2'
'x,-y,z+1/2'
'x+1/2,y+1/2,z'
'-x+1/2,-y+1/2,-z'
'-x+1/2,y+1/2,-z+1/2'
'x+1/2,-y+1/2,z+1/2'
loop_
_atom_site_label
_atom_site_fract_x
_atom_site_fract_y
_atom_site_fract_z
Ce1 0.000 0.084 0.250
Ce2 0.000 0.253 0.750
Pm1 0.000 0.419 0.250
Sn1 0.242 0.085 0.997
Sn2 0.250 0.250 0.500
```

## Properties
Fermi-level density of states   33.39 states/eV/cell
ρ   6.743 g/cm3

=====

Of them, two) has the lowest stability.

=====

one) Material: CePmSnTe
Method: DFT, GGA-PBE
State: relaxed

Cell and atoms, written as CIF:
```
data_CePmSnTe
_chemical_formula_sum 'Ce3 Pm3 Sn3 Te3'
_cell_length_a 4.4982
_cell_length_b 4.4982
_cell_length_c 22.1077
_cell_angle_alpha 90.00
_cell_angle_beta 90.00
_cell_angle_gamma 120.00
_symmetry_space_group_name_H-M 'R 3 m'
_symmetry_Int_Tables_number 160
_symmetry_space_group_name_Hall 'R 3 -2"'
loop_
_atom_site_label
_atom_site_fract_x
_atom_site_fract_y
_atom_site_fract_z
Ce1 0.0000 0.0000 0.0000
Pm1 0.0000 0.0000 0.5054
Sn1 0.0000 0.0000 0.2532
Te1 0.0000 0.0000 0.7528
```

## Properties
Fermi-level density of states   21.31 states/eV/cell
ρ   6.834 g/cm3

=====

two) Material: CePmSnTe
Method: DFT, GGA-PBE
State: relaxed

Cell and atoms, written as CIF:
```
data_CePmSnTe
_chemical_formula_sum 'Ce4 Pm4 Sn4 Te4'
_cell_length_a 7.733
_cell_length_b 7.733
_cell_length_c 7.733
_cell_angle_alpha 90.00
_cell_angle_beta 90.00
_cell_angle_gamma 90.00
_symmetry_space_group_name_H-M 'F -4 3 m'
_symmetry_Int_Tables_number 216
_symmetry_space_group_name_Hall 'F -4 2 3'
loop_
_atom_site_label
_atom_site_fract_x
_atom_site_fract_y
_atom_site_fract_z
Ce1 0.000 0.000 0.000
Pm1 0.000 0.000 0.500
Sn1 0.250 0.250 0.750
Te1 0.250 0.250 0.250
```

## Properties
Fermi-level density of states   26.58 states/eV/cell
ρ   7.632 g/cm3

=====

Of them, two) has the lowest stability.

=====

one) Material: Tb2CePm
Method: DFT, GGA-PBE
State: relaxed

Cell and atoms, written as CIF:
```
data_Tb2CePm
_chemical_formula_sum 'Tb8 Ce4 Pm4'
_cell_length_a 8.057
_cell_length_b 8.057
_cell_length_c 8.057
_cell_angle_alpha 90.00
_cell_angle_beta 90.00
_cell_angle_gamma 90.00
_symmetry_space_group_name_H-M 'F m -3 m'
_symmetry_Int_Tables_number 225
_symmetry_space_group_name_Hall '-F 4 2 3'
loop_
_atom_site_label
_atom_site_fract_x
_atom_site_fract_y
_atom_site_fract_z
Tb1 0.250 0.250 0.250
Ce1 0.000 0.000 0.000
Pm1 0.000 0.000 0.500
```

## Properties
Fermi-level density of states   46.37 states/eV/cell
ρ   7.656 g/cm3

=====

two) Material: Tb2CePm
Method: DFT, GGA-PBE
State: relaxed

Cell and atoms, written as CIF:
```
data_Tb2CePm
_chemical_formula_sum 'Tb2 Ce1 Pm1'
_cell_length_a 3.556
_cell_length_b 3.556
_cell_length_c 10.079
_cell_angle_alpha 90.00
_cell_angle_beta 90.00
_cell_angle_gamma 90.00
_symmetry_space_group_name_H-M 'P 4/m m m'
_symmetry_Int_Tables_number 123
_symmetry_space_group_name_Hall '-P 4 2'
loop_
_atom_site_label
_atom_site_fract_x
_atom_site_fract_y
_atom_site_fract_z
Tb1 0.000 0.000 0.241
Ce1 0.500 0.500 0.000
Pm1 0.500 0.500 0.500
```

## Properties
Fermi-level density of states   7.77 states/eV/cell
ρ   7.854 g/cm3

=====

Of them, one) has the lowest stability.